Na2NiAgF6: relaxed, PBE+U.

Lattice parameters (Å, degrees): 5.407 5.686 10.163 90.00 122.02 90.00
Atoms (fractional coordinates):
1 Na 0.225 0.062 0.245
2 Na 0.225 0.438 0.745
3 Na 0.775 0.562 0.255
4 Na 0.775 0.938 0.755
5 Ni 0.500 0.000 0.000
6 Ni 0.500 0.500 0.500
7 Ag 0.000 0.000 0.500
8 Ag 0.000 0.500 0.000
9 F 0.134 0.193 0.936
10 F 0.134 0.307 0.436
11 F 0.229 0.708 0.918
12 F 0.229 0.792 0.418
13 F 0.416 0.064 0.788
14 F 0.416 0.436 0.288
15 F 0.584 0.564 0.712
16 F 0.584 0.936 0.212
17 F 0.771 0.208 0.582
18 F 0.771 0.292 0.082
19 F 0.866 0.693 0.564
20 F 0.866 0.807 0.064

Computed properties:
Its total DFT energy (no corrections) is -4.014 eV per atom. The calculation puts the density at 4.09 g/cm³.